No. 1
## CoOsPt2 (PBE)

Data for a relaxed structure of CoOsPt2.

a b c (Å): 4.724 4.724 4.724
angles (deg): 132.44 132.44 69.53
Positions (direct):
Co 0.000 0.000 0.000
Os 0.500 0.500 0.000
Pt 0.250 0.750 0.500
Pt 0.750 0.250 0.500

formation energy from the elements: 0.12 eV per atom
space-group type: I4/mmm, No. 139
energy above the lowest structure with this stoichiometry: 103 meV per atom
D(E_F): 5.60 states/eV/cell
magnetization: 0.28 μB per atom

No. 2
## CoOsPt2 (PBE)

Data for a relaxed structure of CoOsPt2.

a b c (Å): 4.692 4.692 4.707
angles (deg): 99.58 99.58 33.83
Positions (direct):
Co 0.000 0.000 0.000
Os 0.500 0.500 0.500
Pt 0.250 0.250 0.751
Pt 0.750 0.750 0.249

formation energy from the elements: 0.14 eV per atom
space-group type: C2/m, No. 12
energy above the lowest structure with this stoichiometry: 127 meV per atom
D(E_F): 5.94 states/eV/cell
magnetization: 0.36 μB per atom

Number 1: E -7.488 eV per atom. Number 2: E -7.463 eV per atom.